Entry 1:
Na2HgS | PBE | relaxed

Values from the calculation:
The symmetry is Fm-3m.

Cell and atoms, written as POSCAR:
```
Na2HgS
1.0
7.165 0.000 0.000
0.000 7.165 0.000
0.000 0.000 7.165
Na Hg S
8 4 4
Direct
0.250 0.250 0.250 Na
0.250 0.250 0.750 Na
0.250 0.750 0.250 Na
0.250 0.750 0.750 Na
0.750 0.250 0.250 Na
0.750 0.250 0.750 Na
0.750 0.750 0.250 Na
0.750 0.750 0.750 Na
0.000 0.000 0.000 Hg
0.000 0.500 0.500 Hg
0.500 0.000 0.500 Hg
0.500 0.500 0.000 Hg
0.000 0.000 0.500 S
0.000 0.500 0.000 S
0.500 0.000 0.000 S
0.500 0.500 0.500 S
```

Entry 2:
NaHg2S2 | PBE | relaxed

Values from the calculation:
The symmetry is P4/mbm.

Cell and atoms, written as POSCAR:
```
NaHg2S2
1.0
8.072 0.000 0.000
0.000 8.072 0.000
0.000 0.000 4.193
Na Hg S
2 4 4
Direct
0.000 0.000 0.000 Na
0.500 0.500 0.000 Na
0.122 0.378 0.500 Hg
0.378 0.878 0.500 Hg
0.622 0.122 0.500 Hg
0.878 0.622 0.500 Hg
0.243 0.257 0.000 S
0.257 0.757 0.000 S
0.743 0.243 0.000 S
0.757 0.743 0.000 S
```

Entry 3:
NaHg5S4 | PBE | relaxed

Values from the calculation:
The symmetry is Pmmn.

Cell and atoms, written as POSCAR:
```
NaHg5S4
1.0
9.971 0.000 0.000
0.000 10.366 0.000
0.000 0.000 5.301
Na Hg S
2 10 8
Direct
0.250 0.250 0.186 Na
0.750 0.750 0.814 Na
0.036 0.550 0.250 Hg
0.036 0.950 0.250 Hg
0.250 0.750 0.739 Hg
0.464 0.550 0.250 Hg
0.464 0.950 0.250 Hg
0.536 0.050 0.750 Hg
0.536 0.450 0.750 Hg
0.750 0.250 0.261 Hg
0.964 0.050 0.750 Hg
0.964 0.450 0.750 Hg
0.011 0.750 0.546 S
0.250 0.514 0.972 S
0.250 0.986 0.972 S
0.489 0.750 0.546 S
0.511 0.250 0.454 S
0.750 0.014 0.028 S
0.750 0.486 0.028 S
0.989 0.250 0.454 S
```

Entry 4:
NaHg2S3 | PBE | relaxed

Values from the calculation:
The symmetry is Pmmn.

Cell and atoms, written as POSCAR:
```
NaHg2S3
1.0
5.603 0.000 0.000
0.000 11.767 0.000
0.000 0.000 4.297
Na Hg S
2 4 6
Direct
0.250 0.250 0.207 Na
0.750 0.750 0.793 Na
0.250 0.585 0.287 Hg
0.250 0.915 0.287 Hg
0.750 0.085 0.713 Hg
0.750 0.415 0.713 Hg
0.250 0.070 0.663 S
0.250 0.430 0.663 S
0.250 0.750 0.940 S
0.750 0.250 0.060 S
0.750 0.570 0.337 S
0.750 0.930 0.337 S
```

Entry 5:
Na3HgS8 | PBE | relaxed

Values from the calculation:
The symmetry is Cm.

Cell and atoms, written as POSCAR:
```
Na3HgS8
1.0
5.047 -5.292 0.000
5.047 5.292 0.000
-3.974 0.000 5.433
Na Hg S
3 1 8
Direct
0.000 0.000 0.000 Na
0.290 0.795 0.597 Na
0.795 0.290 0.597 Na
0.557 0.557 0.143 Hg
0.011 0.436 0.139 S
0.075 0.075 0.461 S
0.164 0.591 0.040 S
0.436 0.011 0.139 S
0.466 0.466 0.681 S
0.591 0.164 0.040 S
0.647 0.647 0.633 S
0.892 0.892 0.503 S
```

Entry 6:
NaHg6S8 | PBE | relaxed

Values from the calculation:
The symmetry is R-3.

Cell and atoms, written as POSCAR:
```
NaHg6S8
1.0
5.395 3.115 3.491
-5.395 3.115 3.491
0.000 -6.230 3.491
Na Hg S
1 6 8
Direct
0.000 0.000 0.000 Na
0.137 0.617 0.279 Hg
0.279 0.137 0.617 Hg
0.383 0.721 0.863 Hg
0.617 0.279 0.137 Hg
0.721 0.863 0.383 Hg
0.863 0.383 0.721 Hg
0.102 0.807 0.625 S
0.193 0.375 0.898 S
0.375 0.898 0.193 S
0.402 0.402 0.402 S
0.598 0.598 0.598 S
0.625 0.102 0.807 S
0.807 0.625 0.102 S
0.898 0.193 0.375 S
```

Entry 7:
Na2HgS | PBE | relaxed

Values from the calculation:
The symmetry is P4/mmm.

Cell and atoms, written as POSCAR:
```
Na2HgS
1.0
3.596 0.000 0.000
0.000 3.596 0.000
0.000 0.000 7.548
Na Hg S
2 1 1
Direct
0.000 0.000 0.181 Na
0.000 0.000 0.819 Na
0.500 0.500 0.500 Hg
0.500 0.500 0.000 S
```

Entry 8:
NaHg2S | PBE | relaxed

Values from the calculation:
The symmetry is R-3m.

Cell and atoms, written as POSCAR:
```
NaHg2S
1.0
4.130 0.000 0.000
-2.065 3.576 0.000
0.000 0.000 26.233
Na Hg S
3 6 3
Direct
0.000 0.000 0.000 Na
0.333 0.667 0.667 Na
0.667 0.333 0.333 Na
0.000 0.000 0.110 Hg
0.000 0.000 0.890 Hg
0.333 0.667 0.557 Hg
0.333 0.667 0.776 Hg
0.667 0.333 0.224 Hg
0.667 0.333 0.443 Hg
0.000 0.000 0.500 S
0.333 0.667 0.167 S
0.667 0.333 0.833 S
```

Entry 9:
NaHgS5 | PBE | relaxed

Values from the calculation:
The symmetry is C2/c.

Cell and atoms, written as POSCAR:
```
NaHgS5
1.0
4.602 -3.758 0.000
4.602 3.758 0.000
-0.240 0.000 10.967
Na Hg S
2 2 10
Direct
0.000 0.500 0.000 Na
0.500 0.000 0.500 Na
0.109 0.891 0.750 Hg
0.891 0.109 0.250 Hg
0.076 0.834 0.533 S
0.166 0.924 0.967 S
0.322 0.356 0.678 S
0.356 0.322 0.178 S
0.369 0.631 0.250 S
0.631 0.369 0.750 S
0.644 0.678 0.822 S
0.678 0.644 0.322 S
0.834 0.076 0.033 S
0.924 0.166 0.467 S
```

Entry 10:
Na2HgS | PBE | relaxed

Values from the calculation:
The symmetry is I-42d.

Cell and atoms, written as POSCAR:
```
Na2HgS
1.0
6.860 0.000 0.000
0.000 6.860 0.000
0.000 0.000 14.423
Na Hg S
8 4 4
Direct
0.105 0.250 0.125 Na
0.250 0.605 0.375 Na
0.250 0.895 0.875 Na
0.395 0.250 0.625 Na
0.605 0.750 0.625 Na
0.750 0.105 0.875 Na
0.750 0.395 0.375 Na
0.895 0.750 0.125 Na
0.000 0.000 0.500 Hg
0.000 0.500 0.750 Hg
0.500 0.000 0.250 Hg
0.500 0.500 0.000 Hg
0.000 0.000 0.000 S
0.000 0.500 0.250 S
0.500 0.000 0.750 S
0.500 0.500 0.500 S
```

Entry 11:
Na2HgS | PBE | relaxed

Values from the calculation:
The symmetry is R3m.

Cell and atoms, written as POSCAR:
```
Na2HgS
1.0
4.451 0.000 0.000
-2.225 3.854 0.000
0.000 0.000 20.538
Na Hg S
6 3 3
Direct
0.000 0.000 0.000 Na
0.000 0.000 0.236 Na
0.333 0.667 0.667 Na
0.333 0.667 0.902 Na
0.667 0.333 0.333 Na
0.667 0.333 0.569 Na
0.000 0.000 0.454 Hg
0.333 0.667 0.121 Hg
0.667 0.333 0.788 Hg
0.000 0.000 0.613 S
0.333 0.667 0.279 S
0.667 0.333 0.946 S
```

Entry 12:
Na2HgS | PBE | relaxed

Values from the calculation:
The symmetry is R-3m.

Cell and atoms, written as POSCAR:
```
Na2HgS
1.0
4.482 0.000 0.000
-2.241 3.882 0.000
0.000 0.000 19.156
Na Hg S
6 3 3
Direct
0.000 0.000 0.217 Na
0.000 0.000 0.783 Na
0.333 0.667 0.449 Na
0.333 0.667 0.884 Na
0.667 0.333 0.116 Na
0.667 0.333 0.551 Na
0.000 0.000 0.000 Hg
0.333 0.667 0.667 Hg
0.667 0.333 0.333 Hg
0.000 0.000 0.500 S
0.333 0.667 0.167 S
0.667 0.333 0.833 S
```

no.,total magnetization (μB per formula unit),formation energy from raw total energies (eV per formula unit)
1,0.000,-2.52
2,0.000,-1.18
3,0.000,-1.10
4,0.000,-1.62
5,0.000,-3.52
6,0.000,-1.13
7,0.000,-2.27
8,0.000,0.20
9,1.030,-1.20
10,0.000,-2.14
11,0.000,-2.70
12,0.000,-2.71